(1)
# GaBiAu4

An optimized crystal structure of GaBiAu4 (PBE-GGA, the Alexandria database).

Results
**Energy above the lowest structure with this stoichiometry**: 0.047 eV per atom
**Size of the total moment**: 0.000 μB per atom
**Formation enthalpy at 0 K**: 0.018 eV per atom

Lattice parameters (Å, degrees): 5.649 5.649 5.649 60.00 60.00 60.00
Fractional positions:
1 Au 0.625 0.125 0.625
2 Au 0.625 0.625 0.625
3 Au 0.125 0.625 0.625
4 Au 0.625 0.625 0.125
5 Bi 0.250 0.250 0.250
6 Ga 0.000 0.000 0.000


(2)
# LaSmEr2Hg4

An optimized crystal structure of LaSmEr2Hg4 (PBE-GGA, the Alexandria database).

Results
**Size of the total moment**: 0.098 μB per atom
**Formation enthalpy at 0 K**: -0.467 eV per atom

Lattice parameters (Å, degrees): 5.337 5.337 9.279 73.29 73.29 60.00
Site moments in Bohr magnetons follow the coordinates.
Fractional positions:
1 Er 0.249 0.249 0.252  0.14
2 Er 0.751 0.751 0.748  0.14
3 La 0.000 0.000 0.000  0.10
4 Hg 0.127 0.127 0.620  0.01
5 Hg 0.623 0.623 0.132  0.01
6 Hg 0.377 0.377 0.868  0.01
7 Hg 0.873 0.873 0.380  0.01
8 Sm 0.500 0.500 0.500  0.08


(3)
# Cu2SnTe3

An optimized crystal structure of Cu2SnTe3 (PBE-GGA, the Alexandria database).

Results
**ΔE_f (raw)**: -0.14 eV per atom
**Energy above the lowest structure with this stoichiometry**: 0.000 eV per atom
**Size of the total moment**: 0.000 μB per atom

Lattice parameters (Å, degrees): 7.569 7.569 7.569 146.16 132.20 59.85
Fractional positions:
1 Cu 0.089 0.829 0.260
2 Cu 0.431 0.171 0.260
3 Te 0.662 0.680 0.982
4 Te 0.302 0.320 0.982
5 Te 0.041 0.000 0.041
6 Sn 0.734 0.500 0.234


- Which of these has the highest size of the total moment?
  LaSmEr2Hg4


- Among the records above, which one has the highest size of the total moment?
  LaSmEr2Hg4


- Number 3 is which compound?
  Cu2SnTe3